VASP calculation (PBE) on a relaxed Tb2SmDy7 crystal.

Cell: 6.157 9.394 9.399 Å, 141.79 109.02 77.42°
Fractional positions:
Dy (0.000, 0.800, 0.200)
Dy (0.500, 0.699, 0.799)
Dy (0.000, 0.600, 0.399)
Dy (0.500, 0.301, 0.201)
Dy (0.500, 0.500, 0.000)
Tb (0.499, 0.900, 0.600)
Sm (0.000, 0.000, 0.000)
Dy (0.000, 0.400, 0.601)
Dy (0.000, 0.200, 0.800)
Tb (0.501, 0.100, 0.400)

Computed properties:
The space-group type is No. 2. The formation energy is 0.02 eV per atom. The calculated volume is 317.2 Å³/cell.

VASP calculation (PBE) on a relaxed Tb4Sm5Dy2 crystal.

Cell: 3.483 8.777 12.117 Å, 97.09 98.26 90.00°
Fractional positions:
Dy (0.092, 0.735, 0.184)
Tb (0.676, 0.471, 0.352)
Tb (0.955, 0.638, 0.910)
Sm (0.860, 0.882, 0.720)
Tb (0.324, 0.529, 0.648)
Dy (0.908, 0.265, 0.816)
Tb (0.045, 0.362, 0.090)
Sm (0.500, 0.000, 0.000)
Sm (0.140, 0.118, 0.280)
Sm (0.769, 0.179, 0.537)
Sm (0.231, 0.821, 0.463)

Computed properties:
The space-group type is No. 12. The formation energy is 0.15 eV per atom. The calculated volume is 363.7 Å³/cell.

VASP calculation (PBE) on a relaxed TbSm2Dy crystal.

Cell: 3.610 3.610 11.805 Å, 81.21 81.21 60.00°
Fractional positions:
Dy (0.500, 0.500, 0.500)
Sm (0.084, 0.084, 0.749)
Sm (0.249, 0.249, 0.252)
Tb (0.667, 0.667, 0.999)

Computed properties:
The space-group type is No. 160. The formation energy is 0.01 eV per atom. The calculated volume is 131.1 Å³/cell.

VASP calculation (PBE) on a relaxed TbSm3Dy7 crystal.

Cell: 8.644 7.066 7.066 Å, 120.00 90.00 90.00°
Fractional positions:
Dy (0.122, 0.667, 0.333)
Sm (0.783, 0.000, 0.500)
Dy (0.119, 0.665, 0.832)
Sm (0.783, 0.500, 0.000)
Dy (0.447, 0.335, 0.168)
Dy (0.119, 0.168, 0.335)
Sm (0.783, 0.500, 0.500)
Dy (0.447, 0.832, 0.665)
Dy (0.119, 0.168, 0.832)
Dy (0.447, 0.832, 0.168)
Tb (0.445, 0.333, 0.667)

Computed properties:
The space-group type is No. 156. The formation energy is 0.18 eV per atom. The calculated volume is 373.7 Å³/cell.

VASP calculation (PBE) on a relaxed Tb4Sm2Dy crystal.

Cell: 6.084 6.628 11.633 Å, 90.00 104.17 90.00°
Fractional positions:
Tb (0.646, 0.995, 0.288)
Sm (0.712, 0.750, 0.568)
Sm (0.288, 0.250, 0.432)
Tb (0.646, 0.505, 0.288)
Dy (0.147, 0.750, 0.155)
Tb (0.984, 0.250, 0.148)
Tb (0.849, 0.250, 0.558)
Tb (0.354, 0.005, 0.712)
Dy (0.853, 0.250, 0.845)
Sm (0.599, 0.750, 0.996)
Tb (0.016, 0.750, 0.852)
Tb (0.354, 0.495, 0.712)
Sm (0.401, 0.250, 0.004)
Tb (0.151, 0.750, 0.442)

Computed properties:
The space-group type is No. 11. The formation energy is 0.13 eV per atom. The calculated volume is 454.8 Å³/cell.

VASP calculation (PBE) on a relaxed TbSm12Dy5 crystal.

Cell: 15.259 10.787 5.094 Å, 90.00 90.00 45.07°
Fractional positions:
Dy (0.167, 0.667, 0.500)
Dy (0.500, 0.000, 0.500)
Sm (0.667, 0.333, 0.000)
Dy (0.333, 0.334, 0.000)
Sm (0.999, 0.333, 0.000)
Sm (0.334, 0.000, 0.000)
Sm (0.501, 0.667, 0.500)
Dy (0.667, 0.666, 0.000)
Sm (0.333, 0.667, 0.000)
Sm (0.834, 0.000, 0.500)
Sm (0.001, 0.667, 0.000)
Sm (0.666, 0.000, 0.000)
Sm (0.499, 0.333, 0.500)
Tb (0.000, 0.000, 0.000)
Sm (0.168, 0.333, 0.500)
Sm (0.166, 0.000, 0.500)
Dy (0.833, 0.333, 0.500)
Sm (0.832, 0.667, 0.500)

Computed properties:
The space-group type is No. 10. The formation energy is 0.02 eV per atom. The calculated volume is 593.6 Å³/cell.

VASP calculation (PBE) on a relaxed Tb3Sm8Dy4 crystal.

Cell: 6.830 9.305 9.305 Å, 86.93 111.55 111.55°
Fractional positions:
Sm (0.000, 0.353, 0.647)
Dy (0.500, 0.000, 0.000)
Dy (0.000, 0.000, 0.000)
Dy (0.000, 0.500, 0.000)
Tb (0.500, 0.500, 0.000)
Sm (0.998, 0.735, 0.735)
Sm (0.000, 0.647, 0.353)
Tb (0.500, 0.000, 0.500)
Tb (0.500, 0.500, 0.500)
Dy (0.000, 0.000, 0.500)
Sm (0.530, 0.267, 0.267)
Sm (0.470, 0.733, 0.733)
Sm (0.002, 0.265, 0.265)
Sm (0.500, 0.748, 0.252)
Sm (0.500, 0.252, 0.748)

Computed properties:
The space-group type is No. 12. The formation energy is 0.38 eV per atom. The calculated volume is 509.3 Å³/cell.

VASP calculation (PBE) on a relaxed Tb12Sm3Dy crystal.

Cell: 5.051 5.051 20.192 Å, 90.00 90.00 90.00°
Fractional positions:
Tb (0.500, 0.500, 0.500)
Sm (0.000, 0.000, 0.751)
Tb (0.000, 0.500, 0.375)
Tb (0.000, 0.500, 0.124)
Tb (0.500, 0.500, 0.751)
Tb (0.000, 0.500, 0.876)
Sm (0.000, 0.000, 0.249)
Tb (0.500, 0.000, 0.625)
Tb (0.500, 0.000, 0.124)
Tb (0.500, 0.500, 0.249)
Dy (0.000, 0.000, 0.000)
Tb (0.500, 0.000, 0.375)
Tb (0.500, 0.000, 0.876)
Tb (0.000, 0.500, 0.625)
Sm (0.000, 0.000, 0.500)
Tb (0.500, 0.500, 0.000)

Computed properties:
The space-group type is No. 123. The formation energy is 0.02 eV per atom. The calculated volume is 515.1 Å³/cell.

VASP calculation (PBE) on a relaxed Tb4SmDy6 crystal.

Cell: 5.728 5.590 25.644 Å, 90.00 90.00 120.82°
Fractional positions:
Dy (0.474, 0.948, 0.250)
Dy (0.195, 0.390, 0.603)
Dy (0.138, 0.275, 0.181)
Tb (0.464, 0.929, 0.121)
Dy (0.500, 0.000, 0.000)
Dy (0.862, 0.725, 0.819)
Tb (0.464, 0.929, 0.379)
Dy (0.862, 0.725, 0.681)
Tb (0.536, 0.071, 0.879)
Dy (0.805, 0.610, 0.103)
Dy (0.195, 0.390, 0.897)
Sm (0.191, 0.383, 0.750)
Tb (0.846, 0.691, 0.543)
Tb (0.154, 0.309, 0.043)
Sm (0.809, 0.617, 0.250)
Tb (0.154, 0.309, 0.457)
Dy (0.526, 0.052, 0.750)
Dy (0.805, 0.610, 0.397)
Tb (0.536, 0.071, 0.621)
Dy (0.138, 0.275, 0.319)
Tb (0.846, 0.691, 0.957)
Dy (0.500, 0.000, 0.500)

Computed properties:
The space-group type is No. 63. The formation energy is 0.12 eV per atom. The calculated volume is 705.1 Å³/cell.

VASP calculation (PBE) on a relaxed TbSm3Dy12 crystal.

Cell: 5.032 5.032 20.125 Å, 90.00 90.00 90.00°
Fractional positions:
Dy (0.500, 0.000, 0.124)
Dy (0.500, 0.000, 0.876)
Dy (0.000, 0.500, 0.124)
Dy (0.500, 0.000, 0.625)
Dy (0.500, 0.500, 0.000)
Sm (0.000, 0.000, 0.750)
Dy (0.000, 0.500, 0.375)
Tb (0.000, 0.000, 0.000)
Dy (0.500, 0.000, 0.375)
Dy (0.500, 0.500, 0.500)
Sm (0.000, 0.000, 0.500)
Dy (0.000, 0.500, 0.876)
Dy (0.500, 0.500, 0.751)
Dy (0.000, 0.500, 0.625)
Sm (0.000, 0.000, 0.250)
Dy (0.500, 0.500, 0.249)

Computed properties:
The space-group type is No. 123. The formation energy is 0.02 eV per atom. The calculated volume is 509.6 Å³/cell.

VASP calculation (PBE) on a relaxed TbSm3Dy crystal.

Cell: 3.623 8.588 11.759 Å, 90.00 90.00 102.12°
Fractional positions:
Sm (0.850, 0.201, 0.499)
Dy (0.017, 0.531, 0.250)
Sm (0.850, 0.201, 0.001)
Sm (0.150, 0.799, 0.999)
Sm (0.688, 0.874, 0.250)
Dy (0.983, 0.469, 0.750)
Sm (0.312, 0.126, 0.750)
Tb (0.350, 0.200, 0.250)
Tb (0.650, 0.800, 0.750)
Sm (0.150, 0.799, 0.501)

Computed properties:
The space-group type is No. 11. The formation energy is 0.31 eV per atom. The calculated volume is 357.7 Å³/cell.

VASP calculation (PBE) on a relaxed TbSm8Dy2 crystal.

Cell: 9.283 10.093 10.093 Å, 43.15 40.19 40.19°
Fractional positions:
Sm (0.135, 0.350, 0.788)
Sm (0.385, 0.308, 0.308)
Dy (0.340, 0.142, 0.142)
Dy (0.660, 0.858, 0.858)
Sm (0.277, 0.672, 0.672)
Sm (0.135, 0.788, 0.350)
Tb (0.000, 0.000, 0.000)
Sm (0.865, 0.650, 0.212)
Sm (0.723, 0.328, 0.328)
Sm (0.615, 0.692, 0.692)
Sm (0.865, 0.212, 0.650)

Computed properties:
The space-group type is No. 12. The formation energy is 0.12 eV per atom. The calculated volume is 368.8 Å³/cell.